# LiVS2 PBE optimized geometry
data_LiVS2
_chemical_formula_sum 'Li1 V1 S2'
_cell_length_a 3.3132
_cell_length_b 3.3132
_cell_length_c 6.6939
_cell_angle_alpha 75.67
_cell_angle_beta 75.67
_cell_angle_gamma 60.00
_symmetry_space_group_name_H-M 'P 1'
_symmetry_Int_Tables_number 1
_symmetry_space_group_name_Hall 'P 1'
loop_
_atom_site_label
_atom_site_type_symbol
_atom_site_fract_x
_atom_site_fract_y
_atom_site_fract_z
Li1 Li 0.5019 0.5019 0.4944
V1 V 0.6660 0.6660 0.0020
S1 S 0.0745 0.0745 0.7765
S2 S 0.2576 0.2576 0.2271
# crystal system: trigonal
# uncorrected formation energy: -4.08 eV per formula unit
# raw total energy: -5.843 eV per atom
# V: 61.0 Å³/f.u.
# spin magnetization: 0.0503 μB per atom


# LiV3S6 PBE optimized geometry
data_LiV3S6
_chemical_formula_sum 'Li2 V6 S12'
_cell_length_a 6.2206
_cell_length_b 7.5310
_cell_length_c 7.5310
_cell_angle_alpha 103.94
_cell_angle_beta 90.00
_cell_angle_gamma 90.00
_symmetry_space_group_name_H-M 'P 1'
_symmetry_Int_Tables_number 1
_symmetry_space_group_name_Hall 'P 1'
loop_
_atom_site_label
_atom_site_type_symbol
_atom_site_fract_x
_atom_site_fract_y
_atom_site_fract_z
Li1 Li 0.0320 0.1825 0.8175
Li2 Li 0.5320 0.8175 0.1825
V1 V 0.5002 0.9263 0.6768
V2 V 0.0002 0.6768 0.9263
V3 V 0.4194 0.4081 0.5919
V4 V 0.9194 0.5919 0.4081
V5 V 0.0002 0.0737 0.3232
V6 V 0.5002 0.3232 0.0737
S1 S 0.2048 0.6946 0.6400
S2 S 0.7048 0.6400 0.6946
S3 S 0.2646 0.4523 0.8937
S4 S 0.7646 0.8937 0.4523
S5 S 0.9435 0.9860 0.0140
S6 S 0.6512 0.2319 0.7681
S7 S 0.1512 0.7681 0.2319
S8 S 0.4435 0.0140 0.9860
S9 S 0.2646 0.1063 0.5477
S10 S 0.7646 0.5477 0.1063
S11 S 0.2048 0.3600 0.3054
S12 S 0.7048 0.3054 0.3600
# crystal system: orthorhombic
# uncorrected formation energy: -7.79 eV per formula unit
# raw total energy: -6.182 eV per atom
# V: 171.2 Å³/f.u.
# spin magnetization: 0.3999 μB per atom


# Li2V3S6 PBE optimized geometry
data_Li2V3S6
_chemical_formula_sum 'Li4 V6 S12'
_cell_length_a 5.5959
_cell_length_b 5.5959
_cell_length_c 14.9135
_cell_angle_alpha 90.00
_cell_angle_beta 90.00
_cell_angle_gamma 120.00
_symmetry_space_group_name_H-M 'P 1'
_symmetry_Int_Tables_number 1
_symmetry_space_group_name_Hall 'P 1'
loop_
_atom_site_label
_atom_site_type_symbol
_atom_site_fract_x
_atom_site_fract_y
_atom_site_fract_z
Li1 Li 0.3333 0.6667 0.0000
Li2 Li 0.3333 0.6667 0.5000
Li3 Li 0.6667 0.3333 0.5000
Li4 Li 0.6667 0.3333 0.0000
V1 V 0.0000 0.6744 0.7500
V2 V 0.0000 0.3256 0.2500
V3 V 0.3256 0.3256 0.7500
V4 V 0.3256 0.0000 0.2500
V5 V 0.6744 0.6744 0.2500
V6 V 0.6744 0.0000 0.7500
S1 S 0.3333 0.6667 0.8463
S2 S 0.3333 0.6667 0.3463
S3 S 0.0000 0.0000 0.8502
S4 S 0.0000 0.0000 0.1498
S5 S 0.0000 0.0000 0.3502
S6 S 0.3333 0.6667 0.1537
S7 S 0.0000 0.0000 0.6498
S8 S 0.3333 0.6667 0.6537
S9 S 0.6667 0.3333 0.8463
S10 S 0.6667 0.3333 0.3463
S11 S 0.6667 0.3333 0.6537
S12 S 0.6667 0.3333 0.1537
# crystal system: hexagonal
# uncorrected formation energy: -10.76 eV per formula unit
# raw total energy: -6.065 eV per atom
# V: 202.2 Å³/f.u.
# spin magnetization: 0.0589 μB per atom